Record 1
! Sc2GaSb (PBE, relaxed); values from VASP
&SYSTEM
  ibrav = 0, nat = 4, ntyp = 3
/
ATOMIC_SPECIES
Sc 44.96 Sc.upf
Ga 69.72 Ga.upf
Sb 121.76 Sb.upf
CELL_PARAMETERS angstrom
0.0000 3.5096 3.5096
3.5096 0.0000 3.5096
3.5096 3.5096 0.0000
ATOMIC_POSITIONS angstrom
Sc 1.7548 1.7548 1.7548
Sc 5.2644 5.2644 5.2644
Ga 0.0000 0.0000 0.0000
Sb 3.5096 3.5096 3.5096
! formation energy from raw total energies: -0.504 eV/atom
! magnetization: 0.0 μB per formula unit
! V: 86.5 Å³ per cell
! energy above the lowest structure with this stoichiometry: 238.2 meV/atom

=====

Record 2
! Sc6GaSb2 (PBE, relaxed); values from VASP
&SYSTEM
  ibrav = 0, nat = 18, ntyp = 3
/
ATOMIC_SPECIES
Sc 44.96 Sc.upf
Ga 69.72 Ga.upf
Sb 121.76 Sb.upf
CELL_PARAMETERS angstrom
6.2766 0.0000 0.0000
0.0000 6.2766 0.0000
0.0000 0.0000 13.1828
ATOMIC_POSITIONS angstrom
Sc 1.1725 1.1725 2.0639
Sc 1.1725 1.1725 11.1189
Sc 1.2773 1.2773 6.5914
Sc 1.8610 4.4155 0.0000
Sc 1.9657 4.3108 4.5275
Sc 1.9657 4.3108 8.6553
Sc 4.3108 1.9657 4.5275
Sc 4.3108 1.9657 8.6553
Sc 4.4155 1.8610 0.0000
Sc 4.9993 4.9993 6.5914
Sc 5.1040 5.1040 2.0639
Sc 5.1040 5.1040 11.1189
Ga 0.0000 0.0000 0.0000
Ga 3.1383 3.1383 6.5914
Sb 0.0000 0.0000 4.3771
Sb 0.0000 0.0000 8.8057
Sb 3.1383 3.1383 2.2143
Sb 3.1383 3.1383 10.9685
! formation energy from raw total energies: -0.172 eV/atom
! magnetization: 0.0 μB per formula unit
! V: 519.3 Å³ per cell

=====

Record 3
! Sc5GaSb4 (PBE, relaxed); values from VASP
&SYSTEM
  ibrav = 0, nat = 10, ntyp = 3
/
ATOMIC_SPECIES
Sc 44.96 Sc.upf
Ga 69.72 Ga.upf
Sb 121.76 Sb.upf
CELL_PARAMETERS angstrom
-4.6139 4.6139 2.9157
4.6139 -4.6139 2.9157
4.6139 4.6139 -2.9157
ATOMIC_POSITIONS angstrom
Sc 0.0000 0.0000 0.0000
Sc 5.5458 1.8803 0.0000
Sc 1.8803 3.6820 0.0000
Sc 2.7337 0.9319 2.9157
Sc -0.9319 2.7337 2.9157
Ga 0.0000 0.0000 2.9157
Sb 2.7722 0.8972 0.0000
Sb 3.7167 -1.8417 2.9157
Sb 0.8972 6.4557 0.0000
Sb 1.8417 3.7167 2.9157
! formation energy from raw total energies: -0.758 eV/atom
! magnetization: 0.0 μB per formula unit
! V: 248.3 Å³ per cell

=====

Record 4
! ScGa2TcSb (PBE, relaxed); values from VASP
&SYSTEM
  ibrav = 0, nat = 5, ntyp = 4
/
ATOMIC_SPECIES
Sc 44.96 Sc.upf
Ga 69.72 Ga.upf
Tc 98.00 Tc.upf
Sb 121.76 Sb.upf
CELL_PARAMETERS angstrom
4.7196 0.0000 0.0000
0.0000 4.7196 0.0000
0.0000 0.0000 5.2689
ATOMIC_POSITIONS angstrom
Sc 0.0000 0.0000 0.0000
Ga 0.0000 2.3598 2.6344
Ga 2.3598 0.0000 2.6344
Tc 2.3598 2.3598 2.6344
Sb 2.3598 2.3598 0.0000
! formation energy from raw total energies: 0.164 eV/atom
! magnetization: 0.0 μB per formula unit
! V: 117.4 Å³ per cell

=====

Record 5
! ScGaSb2Te (PBE, relaxed); values from VASP
&SYSTEM
  ibrav = 0, nat = 5, ntyp = 4
/
ATOMIC_SPECIES
Sc 44.96 Sc.upf
Ga 69.72 Ga.upf
Sb 121.76 Sb.upf
Te 127.60 Te.upf
CELL_PARAMETERS angstrom
5.2472 0.0000 0.0000
0.0000 5.2472 0.0000
0.0000 0.0000 5.3783
ATOMIC_POSITIONS angstrom
Sc 0.0000 0.0000 0.0000
Ga 2.6236 2.6236 2.6892
Sb 0.0000 2.6236 2.6892
Sb 2.6236 0.0000 2.6892
Te 2.6236 2.6236 0.0000
! formation energy from raw total energies: 0.335 eV/atom
! magnetization: 0.0 μB per formula unit
! V: 148.1 Å³ per cell
! energy above the lowest structure with this stoichiometry: 274.9 meV/atom

=====

Record 6
! ScGaSb2Te (PBE, relaxed); values from VASP
&SYSTEM
  ibrav = 0, nat = 5, ntyp = 4
/
ATOMIC_SPECIES
Sc 44.96 Sc.upf
Ga 69.72 Ga.upf
Sb 121.76 Sb.upf
Te 127.60 Te.upf
CELL_PARAMETERS angstrom
5.4993 0.0000 0.0000
0.0000 5.4993 0.0000
0.0000 0.0000 5.5904
ATOMIC_POSITIONS angstrom
Sc 0.0000 0.0000 0.0000
Ga 2.7497 2.7497 2.7952
Sb 0.0000 2.7497 0.0000
Sb 2.7497 0.0000 0.0000
Te 0.0000 0.0000 2.7952
! formation energy from raw total energies: 0.061 eV/atom
! magnetization: 0.0 μB per formula unit
! V: 169.1 Å³ per cell
! energy above the lowest structure with this stoichiometry: 0.0 meV/atom

=====

Record 7
! Ga2Sb2Se (PBE, relaxed); values from VASP
&SYSTEM
  ibrav = 0, nat = 5, ntyp = 3
/
ATOMIC_SPECIES
Ga 69.72 Ga.upf
Sb 121.76 Sb.upf
Se 78.96 Se.upf
CELL_PARAMETERS angstrom
-2.4156 2.4156 5.3281
2.4156 -2.4156 5.3281
2.4156 2.4156 -5.3281
ATOMIC_POSITIONS angstrom
Ga 0.0000 0.0000 1.1974
Ga 0.0000 0.0000 9.4587
Sb 2.4156 0.0000 2.6640
Sb 0.0000 2.4156 2.6640
Se 0.0000 0.0000 5.3281
! formation energy from raw total energies: 0.180 eV/atom
! magnetization: 0.0 μB per formula unit
! V: 124.4 Å³ per cell
! energy above the lowest structure with this stoichiometry: 103.7 meV/atom

=====

Record 8
! Ga2Sb2Se (PBE, relaxed); values from VASP
&SYSTEM
  ibrav = 0, nat = 10, ntyp = 3
/
ATOMIC_SPECIES
Ga 69.72 Ga.upf
Sb 121.76 Sb.upf
Se 78.96 Se.upf
CELL_PARAMETERS angstrom
7.9809 0.0000 0.0000
0.0000 7.9809 0.0000
0.0000 0.0000 3.6640
ATOMIC_POSITIONS angstrom
Ga 1.2727 2.7178 0.0000
Ga 2.7178 6.7083 0.0000
Ga 5.2631 1.2727 0.0000
Ga 6.7083 5.2631 0.0000
Sb 1.1424 5.1328 1.8320
Sb 2.8481 1.1424 1.8320
Sb 5.1328 6.8385 1.8320
Sb 6.8385 2.8481 1.8320
Se 0.0000 0.0000 0.0000
Se 3.9905 3.9905 0.0000
! formation energy from raw total energies: 0.182 eV/atom
! magnetization: 0.0 μB per formula unit
! V: 233.4 Å³ per cell
! energy above the lowest structure with this stoichiometry: 106.2 meV/atom

=====

| no. | D(E_F) (states/eV per atom) | energy (eV per atom) |
| --- | --- | --- |
| 1 | 1.201 | -5.46 |
| 2 | 1.996 | -5.65 |
| 3 | 0.714 | -5.88 |
| 4 | 1.245 | -5.21 |
| 5 | 0.966 | -3.81 |
| 6 | 0.897 | -4.09 |
| 7 | 0.531 | -3.38 |
| 8 | 0.656 | -3.37 |